## 1
Entry from the Alexandria database: a geometry-optimized TcPt2 structure (GGA-PBEsol).

Results
The size of the total moment comes out at 0.000 μB/cell. Its calculated density is 18689 kg/m3.

Lattice parameters (Å, degrees): 2.7192 3.9023 8.1754 90.00 90.00 90.00
Space group Immm (No. 71)
Asymmetric unit:
Tc 0.0000 0.0000 0.0000
Pt 0.0000 0.0000 0.3369



## 2
Entry from the Alexandria database: a geometry-optimized TcPt2 structure (GGA-PBEsol).

Results
The size of the total moment comes out at 0.000 μB/cell. Its calculated density is 18531 kg/m3.

Lattice parameters (Å, degrees): 5.5125 3.8217 8.3055 90.00 90.00 90.00
Space group Pnma (No. 62)
Asymmetric unit:
Tc 0.1107 0.2500 0.0697
Pt 0.1249 0.2500 0.7536
Pt 0.1262 0.2500 0.4161



So which one wins? Going from most stable to least: 1, 2.



## 1
Entry from the Alexandria database: a geometry-optimized TcPt2 structure (GGA-PBEsol).

Results
The size of the total moment comes out at 0.000 μB/cell. Its calculated density is 18595 kg/m3.

Lattice parameters (Å, degrees): 2.7191 2.7191 11.7924 90.00 90.00 90.00
Space group I4/mmm (No. 139)
Asymmetric unit:
Tc 0.0000 0.0000 0.0000
Pt 0.0000 0.0000 0.3408



## 2
Entry from the Alexandria database: a geometry-optimized TcPt2 structure (GGA-PBEsol).

Results
The size of the total moment comes out at 0.001 μB/cell. Its calculated density is 18541 kg/m3.

Lattice parameters (Å, degrees): 10.0667 2.7379 6.5834 90.00 105.46 90.00
Space group C2/m (No. 12)
Asymmetric unit:
Tc 0.2014 0.0000 0.1346
Pt 0.0256 0.5000 0.8130
Pt 0.1430 0.0000 0.5377



## 3
Entry from the Alexandria database: a geometry-optimized TcPt2 structure (GGA-PBEsol).

Results
The size of the total moment comes out at 0.000 μB/cell. Its calculated density is 18595 kg/m3.

Lattice parameters (Å, degrees): 8.2129 4.7445 4.4749 90.00 90.00 90.00
Space group Cmcm (No. 63)
Asymmetric unit:
Tc 0.0000 0.1654 0.2500
Pt 0.1630 0.3246 0.7500



So which one wins? Going from most stable to least: 1, 3, 2.



## 1
Entry from the Alexandria database: a geometry-optimized ZrTcPt2 structure (GGA-PBEsol).

Results
The size of the total moment comes out at 6.593 μB/cell. Its calculated density is 14605 kg/m3.

Lattice parameters (Å, degrees): 6.4110 6.4110 6.4110 90.00 90.00 90.00
Space group Fm-3m (No. 225)
Asymmetric unit:
Zr 0.0000 0.0000 0.0000
Tc 0.0000 0.0000 0.5000
Pt 0.2500 0.2500 0.2500



## 2
Entry from the Alexandria database: a geometry-optimized ZrTcPt2 structure (GGA-PBEsol).

Results
The size of the total moment comes out at 0.005 μB/cell. Its calculated density is 15341 kg/m3.

Lattice parameters (Å, degrees): 3.9171 3.9171 8.1746 90.00 90.00 90.00
Space group I4/mmm (No. 139)
Asymmetric unit:
Zr 0.0000 0.0000 0.0000
Tc 0.0000 0.0000 0.5000
Pt 0.0000 0.5000 0.2500



So which one wins? Going from most stable to least: 2, 1.



## 1
Entry from the Alexandria database: a geometry-optimized TlTe2Pt structure (GGA-PBEsol).

Results
The size of the total moment comes out at 0.000 μB/cell. Its calculated density is 9925 kg/m3.

Lattice parameters (Å, degrees): 11.3761 3.7855 5.7039 90.00 116.90 90.00
Space group C2/m (No. 12)
Asymmetric unit:
Tl 0.0000 0.0000 0.0000
Te 0.1783 0.0000 0.6567
Pt 0.0000 0.5000 0.5000



## 2
Entry from the Alexandria database: a geometry-optimized TlTe2Pt structure (GGA-PBEsol).

Results
The size of the total moment comes out at 0.000 μB/cell. Its calculated density is 10266 kg/m3.

Lattice parameters (Å, degrees): 4.0270 4.0270 22.6200 90.00 90.00 120.00
Space group R-3m (No. 166, hexagonal axes)
Asymmetric unit:
Tl 0.0000 0.0000 0.0000
Te 0.0000 0.0000 0.2281
Pt 0.0000 0.0000 0.5000



## 3
Entry from the Alexandria database: a geometry-optimized TlTe2Pt structure (GGA-PBEsol).

Results
The size of the total moment comes out at 0.000 μB/cell. Its calculated density is 11008 kg/m3.

Lattice parameters (Å, degrees): 3.4466 3.4466 8.3136 90.00 90.00 90.00
Space group P4/mmm (No. 123)
Asymmetric unit:
Tl 0.0000 0.0000 0.0000
Te 0.5000 0.5000 0.3086
Pt 0.0000 0.0000 0.5000



So which one wins? Going from most stable to least: 2, 1, 3.



## 1
Entry from the Alexandria database: a geometry-optimized TlPt2 structure (GGA-PBEsol).

Results
The size of the total moment comes out at 0.001 μB/cell. Its calculated density is 17918 kg/m3.

Lattice parameters (Å, degrees): 7.6105 7.6105 7.6105 90.00 90.00 90.00
Space group Fd-3m (No. 227, origin choice 2)
Asymmetric unit:
Tl 0.1250 0.1250 0.1250
Pt 0.0000 0.0000 0.5000



## 2
Entry from the Alexandria database: a geometry-optimized TlPt2 structure (GGA-PBEsol).

Results
The size of the total moment comes out at 0.001 μB/cell. Its calculated density is 16581 kg/m3.

Lattice parameters (Å, degrees): 9.6882 5.3292 4.6129 90.00 90.00 90.00
Space group Cmcm (No. 63)
Asymmetric unit:
Tl 0.0000 0.2325 0.2500
Pt 0.2298 0.1250 0.7500



## 3
Entry from the Alexandria database: a geometry-optimized TlPt2 structure (GGA-PBEsol).

Results
The size of the total moment comes out at 0.000 μB/cell. Its calculated density is 19234 kg/m3.

Lattice parameters (Å, degrees): 3.0046 3.0046 11.3717 90.00 90.00 90.00
Space group I4/mmm (No. 139)
Asymmetric unit:
Tl 0.0000 0.0000 0.0000
Pt 0.0000 0.0000 0.3309



So which one wins? Going from most stable to least: 1, 2, 3.



## 1
Entry from the Alexandria database: a geometry-optimized Tl3Pt structure (GGA-PBEsol).

Results
The size of the total moment comes out at 0.000 μB/cell. Its calculated density is 13103 kg/m3.

Lattice parameters (Å, degrees): 3.8038 3.8038 24.5230 90.00 90.00 120.00
Space group R-3m (No. 166, hexagonal axes)
Asymmetric unit:
Tl 0.0000 0.0000 0.0000
Tl 0.0000 0.0000 0.2342
Pt 0.0000 0.0000 0.5000



## 2
Entry from the Alexandria database: a geometry-optimized Tl3Pt structure (GGA-PBEsol).

Results
The size of the total moment comes out at 0.000 μB/cell. Its calculated density is 13653 kg/m3.

Lattice parameters (Å, degrees): 6.0275 17.1164 3.8113 90.00 90.00 90.00
Space group Cmcm (No. 63)
Asymmetric unit:
Tl 0.0000 0.2196 0.2500
Tl 0.2470 0.0772 0.7500
Pt 0.0000 0.3377 0.7500



## 3
Entry from the Alexandria database: a geometry-optimized Tl3Pt structure (GGA-PBEsol).

Results
The size of the total moment comes out at 0.000 μB/cell. Its calculated density is 14448 kg/m3.

Lattice parameters (Å, degrees): 7.1892 7.1892 7.1892 90.00 90.00 90.00
Space group Fm-3m (No. 225)
Asymmetric unit:
Tl 0.0000 0.0000 0.0000
Tl 0.2500 0.2500 0.2500
Pt 0.0000 0.0000 0.5000



So which one wins? Going from most stable to least: 2, 1, 3.



## 1
Entry from the Alexandria database: a geometry-optimized Tl3Pt structure (GGA-PBEsol).

Results
The size of the total moment comes out at 0.000 μB/cell. Its calculated density is 14124 kg/m3.

Lattice parameters (Å, degrees): 3.2819 3.4581 8.3729 90.00 90.00 90.00
Space group Pmmm (No. 47)
Asymmetric unit:
Tl 0.0000 0.0000 0.0000
Tl 0.5000 0.5000 0.2996
Pt 0.0000 0.0000 0.5000



## 2
Entry from the Alexandria database: a geometry-optimized Tl3Pt structure (GGA-PBEsol).

Results
The size of the total moment comes out at 0.000 μB/cell. Its calculated density is 13796 kg/m3.

Lattice parameters (Å, degrees): 3.7576 8.4225 6.1478 90.00 90.00 90.00
Space group Imm2 (No. 44)
Asymmetric unit:
Tl 0.0000 0.0000 0.0000
Tl 0.0000 0.1930 0.5659
Pt 0.0000 0.5000 0.8375



So which one wins? Going from most stable to least: 1, 2.



## 1
Entry from the Alexandria database: a geometry-optimized Tl5Pt structure (GGA-PBEsol).

Results
The size of the total moment comes out at 0.000 μB/cell. Its calculated density is 13128 kg/m3.

Lattice parameters (Å, degrees): 11.8295 3.3495 8.5359 90.00 114.45 90.00
Space group C2/m (No. 12)
Asymmetric unit:
Tl 0.0000 0.0000 0.0000
Tl 0.1324 0.5000 0.3629
Tl 0.1739 0.5000 0.7907
Pt 0.0000 0.0000 0.5000



## 2
Entry from the Alexandria database: a geometry-optimized Tl5Pt structure (GGA-PBEsol).

Results
The size of the total moment comes out at 0.000 μB/cell. Its calculated density is 13369 kg/m3.

Lattice parameters (Å, degrees): 3.3460 3.3460 13.5025 90.00 90.00 90.00
Space group P4/mmm (No. 123)
Asymmetric unit:
Tl 0.0000 0.0000 0.0000
Tl 0.0000 0.0000 0.3741
Tl 0.5000 0.5000 0.1869
Pt 0.5000 0.5000 0.5000



So which one wins? Going from most stable to least: 1, 2.



## 1
Entry from the Alexandria database: a geometry-optimized TlZn2Pt structure (GGA-PBEsol).

Results
The size of the total moment comes out at 0.000 μB/cell. Its calculated density is 12426 kg/m3.

Lattice parameters (Å, degrees): 2.9260 3.3255 7.2845 90.00 91.25 90.00
Space group P2/m (No. 10)
Asymmetric unit:
Tl 0.0000 0.0000 0.0000
Zn 0.4887 0.5000 0.3083
Pt 0.0000 0.0000 0.5000



## 2
Entry from the Alexandria database: a geometry-optimized TlZn2Pt structure (GGA-PBEsol).

Results
The size of the total moment comes out at 0.000 μB/cell. Its calculated density is 13169 kg/m3.

Lattice parameters (Å, degrees): 6.4429 6.4429 6.4429 90.00 90.00 90.00
Space group F-43m (No. 216)
Asymmetric unit:
Tl 0.0000 0.0000 0.0000
Zn 0.0000 0.0000 0.5000
Zn 0.2500 0.2500 0.2500
Pt 0.2500 0.2500 0.7500



## 3
Entry from the Alexandria database: a geometry-optimized TlZn2Pt structure (GGA-PBEsol).

Results
The size of the total moment comes out at 0.000 μB/cell. Its calculated density is 12711 kg/m3.

Lattice parameters (Å, degrees): 3.0323 3.0323 26.1004 90.00 90.00 120.00
Space group R3m (No. 160, hexagonal axes)
Asymmetric unit:
Tl 0.0000 0.0000 0.0000
Zn 0.0000 0.0000 0.5040
Zn 0.0000 0.0000 0.7618
Pt 0.0000 0.0000 0.2429



So which one wins? Going from most stable to least: 1, 3, 2.



## 1
Entry from the Alexandria database: a geometry-optimized TlZn2Pt structure (GGA-PBEsol).

Results
The size of the total moment comes out at 0.000 μB/cell. Its calculated density is 13480 kg/m3.

Lattice parameters (Å, degrees): 4.1111 4.1111 3.8650 90.00 90.00 90.00
Space group P4/mmm (No. 123)
Asymmetric unit:
Tl 0.0000 0.0000 0.0000
Zn 0.0000 0.5000 0.5000
Pt 0.5000 0.5000 0.0000



## 2
Entry from the Alexandria database: a geometry-optimized TlZn2Pt structure (GGA-PBEsol).

Results
The size of the total moment comes out at 0.000 μB/cell. Its calculated density is 13115 kg/m3.

Lattice parameters (Å, degrees): 3.4580 3.4580 5.6150 90.00 90.00 90.00
Space group P4mm (No. 99)
Asymmetric unit:
Tl 0.0000 0.0000 0.0000
Zn 0.0000 0.0000 0.5123
Zn 0.5000 0.5000 0.2653
Pt 0.5000 0.5000 0.7114



So which one wins? Going from most stable to least: 2, 1.



## 1
Entry from the Alexandria database: a geometry-optimized Pt5W structure (GGA-PBEsol).

Results
The size of the total moment comes out at 0.001 μB/cell. Its calculated density is 21325 kg/m3.

Lattice parameters (Å, degrees): 3.8993 11.7243 3.9492 90.00 90.00 90.00
Space group Cmmm (No. 65)
Asymmetric unit:
Pt 0.0000 0.0000 0.0000
Pt 0.0000 0.1585 0.5000
Pt 0.0000 0.3366 0.0000
W 0.0000 0.5000 0.5000



## 2
Entry from the Alexandria database: a geometry-optimized Pt5W structure (GGA-PBEsol).

Results
The size of the total moment comes out at 0.001 μB/cell. Its calculated density is 21383 kg/m3.

Lattice parameters (Å, degrees): 4.7908 4.7908 4.5291 90.00 90.00 120.00
Space group P-62m (No. 189)
Asymmetric unit:
Pt 0.0000 0.6718 0.0000
Pt 0.3333 0.6667 0.5000
W 0.0000 0.0000 0.5000



So which one wins? Going from most stable to least: 1, 2.